No. 1
Computed, not measured: crystalline PrNdZn2Ga2 at its relaxed geometry at the PBE level of DFT.

a = 4.510 Å, b = 4.510 Å, c = 7.559 Å
α = 90.00°, β = 90.00°, γ = 120.00°
Element x y z (fractional)
Pr 0.000 0.000 0.000
Nd 0.000 0.000 0.500
Zn 0.333 0.667 0.283
Zn 0.667 0.333 0.776
Ga 0.333 0.667 0.718
Ga 0.667 0.333 0.224

Results
**Electronic total energy**: -3.58 eV/atom
**Crystal system**: trigonal
**Total magnetization**: 0.01 μB/f.u.

***

No. 2
Computed, not measured: crystalline NdGaPt2 at its relaxed geometry at the PBE level of DFT.

a = 7.520 Å, b = 7.174 Å, c = 5.773 Å
α = 90.00°, β = 90.00°, γ = 90.00°
Element x y z (fractional)
Nd 0.029 0.250 0.144
Nd 0.471 0.750 0.644
Nd 0.529 0.250 0.356
Nd 0.971 0.750 0.856
Ga 0.119 0.750 0.356
Ga 0.381 0.250 0.856
Ga 0.619 0.750 0.144
Ga 0.881 0.250 0.644
Pt 0.181 0.053 0.586
Pt 0.181 0.447 0.586
Pt 0.319 0.553 0.086
Pt 0.319 0.947 0.086
Pt 0.681 0.053 0.914
Pt 0.681 0.447 0.914
Pt 0.819 0.553 0.414
Pt 0.819 0.947 0.414

Results
**Electronic total energy**: -5.99 eV/atom
**Crystal system**: orthorhombic
**Total magnetization**: 0.00 μB/f.u.

***

No. 3
Computed, not measured: crystalline Nd2Ga5Pt3 at its relaxed geometry at the PBE level of DFT.

a = 8.684 Å, b = 8.684 Å, c = 8.684 Å
α = 106.53°, β = 86.83°, γ = 140.42°
Element x y z (fractional)
Nd 0.135 0.227 0.362
Nd 0.365 0.727 0.092
Nd 0.635 0.273 0.908
Nd 0.865 0.773 0.638
Ga 0.034 0.750 0.284
Ga 0.101 0.661 0.762
Ga 0.250 0.250 0.000
Ga 0.399 0.161 0.560
Ga 0.466 0.750 0.716
Ga 0.534 0.250 0.284
Ga 0.601 0.839 0.440
Ga 0.750 0.750 0.000
Ga 0.899 0.339 0.238
Ga 0.966 0.250 0.716
Pt 0.142 0.895 0.037
Pt 0.250 0.750 0.500
Pt 0.358 0.395 0.753
Pt 0.642 0.605 0.247
Pt 0.750 0.250 0.500
Pt 0.858 0.105 0.963

Results
**Electronic total energy**: -5.19 eV/atom
**Crystal system**: orthorhombic
**Total magnetization**: 0.00 μB/f.u.

***

No. 4
Computed, not measured: crystalline NdGa2Pt3 at its relaxed geometry at the PBE level of DFT.

a = 5.612 Å, b = 5.612 Å, c = 4.050 Å
α = 90.00°, β = 90.00°, γ = 120.00°
Element x y z (fractional)
Nd 0.000 0.000 0.000
Ga 0.333 0.667 0.000
Ga 0.667 0.333 0.000
Pt 0.000 0.500 0.500
Pt 0.500 0.000 0.500
Pt 0.500 0.500 0.500

Results
**Electronic total energy**: -5.73 eV/atom
**Crystal system**: hexagonal
**Total magnetization**: 0.00 μB/f.u.

***

No. 5
Computed, not measured: crystalline NdGa3Pt at its relaxed geometry at the PBE level of DFT.

a = 4.358 Å, b = 4.358 Å, c = 10.540 Å
α = 90.00°, β = 90.00°, γ = 90.00°
Element x y z (fractional)
Nd 0.000 0.000 0.000
Nd 0.500 0.500 0.500
Ga 0.000 0.000 0.409
Ga 0.000 0.500 0.258
Ga 0.000 0.500 0.758
Ga 0.500 0.000 0.258
Ga 0.500 0.000 0.758
Ga 0.500 0.500 0.909
Pt 0.000 0.000 0.641
Pt 0.500 0.500 0.141

Results
**Electronic total energy**: -4.78 eV/atom
**Crystal system**: tetragonal
**Total magnetization**: 0.00 μB/f.u.

***

No. 6
Computed, not measured: crystalline NdGaSiPt2 at its relaxed geometry at the PBE level of DFT.

a = 4.288 Å, b = 4.288 Å, c = 10.178 Å
α = 90.00°, β = 90.00°, γ = 90.00°
Element x y z (fractional)
Nd 0.250 0.250 0.239
Nd 0.750 0.750 0.761
Ga 0.250 0.250 0.638
Ga 0.750 0.750 0.362
Si 0.250 0.750 0.000
Si 0.750 0.250 0.000
Pt 0.250 0.250 0.886
Pt 0.250 0.750 0.500
Pt 0.750 0.250 0.500
Pt 0.750 0.750 0.114

Results
**Distance to the lowest polymorph of the same formula**: 43 meV per atom
**Electronic total energy**: -6.09 eV/atom
**Crystal system**: tetragonal
**Total magnetization**: 0.00 μB/f.u.

***

No. 7
Computed, not measured: crystalline NdGaSiPt2 at its relaxed geometry at the PBE level of DFT.

a = 4.276 Å, b = 4.276 Å, c = 10.192 Å
α = 90.00°, β = 90.00°, γ = 90.00°
Element x y z (fractional)
Nd 0.250 0.250 0.249
Nd 0.750 0.750 0.751
Ga 0.250 0.750 0.000
Ga 0.750 0.250 0.000
Si 0.250 0.250 0.626
Si 0.750 0.750 0.374
Pt 0.250 0.250 0.858
Pt 0.250 0.750 0.500
Pt 0.750 0.250 0.500
Pt 0.750 0.750 0.142

Results
**Distance to the lowest polymorph of the same formula**: 0 meV per atom
**Electronic total energy**: -6.13 eV/atom
**Crystal system**: tetragonal
**Total magnetization**: 0.00 μB/f.u.

***

No. 8
Computed, not measured: crystalline TbNdGa2Pt4 at its relaxed geometry at the PBE level of DFT.

a = 4.405 Å, b = 4.405 Å, c = 9.339 Å
α = 90.00°, β = 90.00°, γ = 120.00°
Element x y z (fractional)
Tb 0.000 0.000 0.000
Nd 0.333 0.667 0.500
Ga 0.667 0.333 0.246
Ga 0.667 0.333 0.754
Pt 0.000 0.000 0.323
Pt 0.000 0.000 0.677
Pt 0.333 0.667 0.164
Pt 0.333 0.667 0.836

Results
**Electronic total energy**: -5.98 eV/atom
**Crystal system**: hexagonal
**Total magnetization**: 0.00 μB/f.u.

***

No. 9
Computed, not measured: crystalline NdYGa2Pt4 at its relaxed geometry at the PBE level of DFT.

a = 4.407 Å, b = 4.407 Å, c = 9.304 Å
α = 90.00°, β = 90.00°, γ = 120.00°
Element x y z (fractional)
Nd 0.000 0.000 0.000
Y 0.333 0.667 0.500
Ga 0.667 0.333 0.254
Ga 0.667 0.333 0.746
Pt 0.000 0.000 0.338
Pt 0.000 0.000 0.662
Pt 0.333 0.667 0.175
Pt 0.333 0.667 0.825

Results
**Electronic total energy**: -6.21 eV/atom
**Crystal system**: hexagonal
**Total magnetization**: 0.00 μB/f.u.

***

No. 10
Computed, not measured: crystalline NdGaRe at its relaxed geometry at the PBE level of DFT.

a = 6.457 Å, b = 6.457 Å, c = 6.457 Å
α = 90.00°, β = 90.00°, γ = 90.00°
Element x y z (fractional)
Nd 0.000 0.000 0.000
Nd 0.000 0.500 0.500
Nd 0.500 0.000 0.500
Nd 0.500 0.500 0.000
Ga 0.250 0.250 0.250
Ga 0.250 0.750 0.750
Ga 0.750 0.250 0.750
Ga 0.750 0.750 0.250
Re 0.000 0.000 0.500
Re 0.000 0.500 0.000
Re 0.500 0.000 0.000
Re 0.500 0.500 0.500

Results
**Electronic total energy**: -6.24 eV/atom
**Crystal system**: cubic
**Total magnetization**: 0.24 μB/f.u.

***

No. 11
Computed, not measured: crystalline Nd3GaS6 at its relaxed geometry at the PBE level of DFT.

a = 8.795 Å, b = 8.795 Å, c = 6.644 Å
α = 90.00°, β = 90.00°, γ = 102.38°
Element x y z (fractional)
Nd 0.101 0.899 0.500
Nd 0.215 0.415 0.584
Nd 0.415 0.215 0.084
Nd 0.585 0.785 0.584
Nd 0.785 0.585 0.084
Nd 0.899 0.101 0.000
Ga 0.302 0.698 0.123
Ga 0.698 0.302 0.623
S 0.074 0.600 0.293
S 0.136 0.187 0.292
S 0.187 0.136 0.792
S 0.283 0.717 0.781
S 0.400 0.926 0.293
S 0.459 0.541 0.262
S 0.541 0.459 0.762
S 0.600 0.074 0.793
S 0.717 0.283 0.281
S 0.813 0.864 0.292
S 0.864 0.813 0.792
S 0.926 0.400 0.793

Results
**Electronic total energy**: -5.94 eV/atom
**Crystal system**: orthorhombic
**Total magnetization**: 0.00 μB/f.u.

***

No. 12
Computed, not measured: crystalline Nd3GaSe6 at its relaxed geometry at the PBE level of DFT.

a = 9.182 Å, b = 9.182 Å, c = 6.954 Å
α = 90.00°, β = 90.00°, γ = 102.39°
Element x y z (fractional)
Nd 0.099 0.901 0.500
Nd 0.218 0.414 0.598
Nd 0.414 0.218 0.098
Nd 0.586 0.782 0.598
Nd 0.782 0.586 0.098
Nd 0.901 0.099 0.000
Ga 0.300 0.700 0.135
Ga 0.700 0.300 0.635
Se 0.070 0.598 0.309
Se 0.131 0.193 0.299
Se 0.193 0.131 0.799
Se 0.281 0.719 0.787
Se 0.402 0.930 0.309
Se 0.460 0.540 0.278
Se 0.540 0.460 0.778
Se 0.598 0.070 0.809
Se 0.719 0.281 0.287
Se 0.807 0.869 0.299
Se 0.869 0.807 0.799
Se 0.930 0.402 0.809

Results
**Electronic total energy**: -5.39 eV/atom
**Crystal system**: orthorhombic
**Total magnetization**: 0.00 μB/f.u.

***

No. 13
Computed, not measured: crystalline NdGaSnSe3 at its relaxed geometry at the PBE level of DFT.

a = 7.400 Å, b = 7.400 Å, c = 10.463 Å
α = 90.00°, β = 90.00°, γ = 145.50°
Element x y z (fractional)
Nd 0.000 0.000 0.000
Nd 0.000 0.000 0.500
Ga 0.457 0.543 0.750
Ga 0.543 0.457 0.250
Sn 0.264 0.736 0.250
Sn 0.736 0.264 0.750
Se 0.103 0.897 0.750
Se 0.355 0.645 0.541
Se 0.355 0.645 0.959
Se 0.645 0.355 0.041
Se 0.645 0.355 0.459
Se 0.897 0.103 0.250

Results
**Electronic total energy**: -4.50 eV/atom
**Crystal system**: orthorhombic
**Total magnetization**: 0.01 μB/f.u.

***

No. 14
Computed, not measured: crystalline SrNdGaSe3 at its relaxed geometry at the PBE level of DFT.

a = 7.746 Å, b = 7.746 Å, c = 10.401 Å
α = 90.00°, β = 90.00°, γ = 147.52°
Element x y z (fractional)
Sr 0.242 0.758 0.750
Sr 0.758 0.242 0.250
Nd 0.000 0.000 0.000
Nd 0.000 0.000 0.500
Ga 0.483 0.517 0.250
Ga 0.517 0.483 0.750
Se 0.110 0.890 0.250
Se 0.359 0.641 0.055
Se 0.359 0.641 0.445
Se 0.641 0.359 0.555
Se 0.641 0.359 0.945
Se 0.890 0.110 0.750

Results
**Electronic total energy**: -4.63 eV/atom
**Crystal system**: orthorhombic
**Total magnetization**: 0.00 μB/f.u.

***

No. 15
Computed, not measured: crystalline NdGa2Si2 at its relaxed geometry at the PBE level of DFT.

a = 4.599 Å, b = 4.599 Å, c = 9.212 Å
α = 90.00°, β = 90.00°, γ = 90.00°
Element x y z (fractional)
Nd 0.000 0.000 0.000
Nd 0.500 0.500 0.500
Ga 0.000 0.000 0.364
Ga 0.000 0.000 0.636
Ga 0.500 0.500 0.136
Ga 0.500 0.500 0.864
Si 0.000 0.500 0.250
Si 0.000 0.500 0.750
Si 0.500 0.000 0.250
Si 0.500 0.000 0.750

Results
**Electronic total energy**: -4.56 eV/atom
**Crystal system**: tetragonal
**Total magnetization**: 0.00 μB/f.u.

***

No. 16
Computed, not measured: crystalline Nd3Sm3Ga at its relaxed geometry at the PBE level of DFT.

a = 6.948 Å, b = 6.948 Å, c = 18.387 Å
α = 90.00°, β = 90.00°, γ = 148.95°
Element x y z (fractional)
Nd 0.007 0.993 0.750
Nd 0.348 0.652 0.090
Nd 0.348 0.652 0.410
Nd 0.652 0.348 0.590
Nd 0.652 0.348 0.910
Nd 0.993 0.007 0.250
Sm 0.264 0.736 0.750
Sm 0.389 0.611 0.600
Sm 0.389 0.611 0.900
Sm 0.611 0.389 0.100
Sm 0.611 0.389 0.400
Sm 0.736 0.264 0.250
Ga 0.000 0.000 0.000
Ga 0.000 0.000 0.500

Results
**Electronic total energy**: -4.57 eV/atom
**Crystal system**: orthorhombic
**Total magnetization**: 0.34 μB/f.u.

***

No. 17
Computed, not measured: crystalline NdSmGa2 at its relaxed geometry at the PBE level of DFT.

a = 4.189 Å, b = 23.855 Å, c = 4.242 Å
α = 90.00°, β = 90.00°, γ = 90.00°
Element x y z (fractional)
Nd 0.000 0.176 0.000
Nd 0.000 0.824 0.000
Nd 0.500 0.324 0.000
Nd 0.500 0.676 0.000
Sm 0.000 0.409 0.500
Sm 0.000 0.591 0.500
Sm 0.500 0.091 0.500
Sm 0.500 0.909 0.500
Ga 0.000 0.000 0.500
Ga 0.000 0.282 0.500
Ga 0.000 0.500 0.000
Ga 0.000 0.718 0.500
Ga 0.500 0.000 0.000
Ga 0.500 0.218 0.500
Ga 0.500 0.500 0.500
Ga 0.500 0.782 0.500

Results
**Electronic total energy**: -4.21 eV/atom
**Crystal system**: orthorhombic
**Total magnetization**: 0.01 μB/f.u.

***

No. 18
Computed, not measured: crystalline NdSmGa2 at its relaxed geometry at the PBE level of DFT.

a = 4.142 Å, b = 4.456 Å, c = 11.212 Å
α = 90.00°, β = 90.00°, γ = 90.00°
Element x y z (fractional)
Nd 0.000 0.000 0.000
Nd 0.000 0.500 0.500
Sm 0.500 0.000 0.280
Sm 0.500 0.500 0.780
Ga 0.000 0.000 0.714
Ga 0.000 0.500 0.214
Ga 0.500 0.000 0.570
Ga 0.500 0.500 0.070

Results
**Electronic total energy**: -4.48 eV/atom
**Crystal system**: orthorhombic
**Total magnetization**: 0.01 μB/f.u.

***

No. 19
Computed, not measured: crystalline Nd5Ga2Sn at its relaxed geometry at the PBE level of DFT.

a = 9.183 Å, b = 9.183 Å, c = 9.183 Å
α = 127.79°, β = 127.79°, γ = 76.97°
Element x y z (fractional)
Nd 0.000 0.000 0.000
Nd 0.023 0.523 0.838
Nd 0.185 0.023 0.500
Nd 0.315 0.815 0.838
Nd 0.477 0.315 0.500
Nd 0.500 0.500 0.000
Nd 0.523 0.685 0.500
Nd 0.685 0.185 0.162
Nd 0.815 0.977 0.500
Nd 0.977 0.477 0.162
Ga 0.122 0.378 0.500
Ga 0.378 0.878 0.257
Ga 0.622 0.122 0.743
Ga 0.878 0.622 0.500
Sn 0.250 0.250 0.000
Sn 0.750 0.750 0.000

Results
**Electronic total energy**: -4.78 eV/atom
**Crystal system**: tetragonal
**Total magnetization**: 0.05 μB/f.u.

***

No. 20
Computed, not measured: crystalline Nd2TaGa2 at its relaxed geometry at the PBE level of DFT.

a = 7.327 Å, b = 7.327 Å, c = 4.455 Å
α = 90.00°, β = 90.00°, γ = 90.00°
Element x y z (fractional)
Nd 0.171 0.329 0.000
Nd 0.329 0.829 0.000
Nd 0.671 0.171 0.000
Nd 0.829 0.671 0.000
Ta 0.000 0.000 0.500
Ta 0.500 0.500 0.500
Ga 0.135 0.635 0.500
Ga 0.365 0.135 0.500
Ga 0.635 0.865 0.500
Ga 0.865 0.365 0.500

Results
**Electronic total energy**: -5.65 eV/atom
**Crystal system**: tetragonal
**Total magnetization**: 0.95 μB/f.u.